AcY4Er15: optimized geometry, GGA-PBE.

Cell: 5.6604 5.6604 19.9594 Å, 90.00 90.00 90.00°
Space group P4/mmm (No. 123)
Asymmetric unit:
Ac 0.0000 0.0000 0.0000
Y 0.0000 0.0000 0.2120
Y 0.0000 0.0000 0.4007
Er 0.0000 0.5000 0.1128
Er 0.0000 0.5000 0.3042
Er 0.0000 0.5000 0.5000
Er 0.5000 0.5000 0.0000
Er 0.5000 0.5000 0.2086
Er 0.5000 0.5000 0.4004

## Properties
Volume (Å³ per cell): 639.49
Total magnetization (μB/f.u.): 0.00
Energy of formation from the pure elements (meV per atom): 135

Ac8YEr2: optimized geometry, GGA-PBE.

Cell: 5.7988 9.6713 16.5313 Å, 90.00 90.00 90.00°
Space group Immm (No. 71)
Asymmetric unit:
Ac 0.0000 0.0000 0.1474
Ac 0.0000 0.2118 0.3429
Ac 0.0000 0.3087 0.0000
Y 0.0000 0.5000 0.5000
Er 0.0000 0.5000 0.2031

## Properties
Volume (Å³ per cell): 927.10
Total magnetization (μB/f.u.): 0.00
Energy of formation from the pure elements (meV per atom): 138

AcY6Er2: optimized geometry, GGA-PBE.

Cell: 15.6985 8.7769 9.2626 Å, 90.00 105.59 90.00°
Space group C2/c (No. 15)
Asymmetric unit:
Ac 0.0000 0.0766 0.2500
Y 0.1082 0.2129 0.6179
Y 0.1194 0.4332 0.3111
Y 0.1377 0.2262 0.0062
Er 0.2231 0.0688 0.3524

## Properties
Offset from the most stable computed form (eV/f.u.): 1.32
Volume (Å³ per cell): 1229.27
Total magnetization (μB/f.u.): 0.00
Energy of formation from the pure elements (meV per atom): 204

AcY7Er3: optimized geometry, GGA-PBE.

Cell: 6.9866 5.6192 9.9162 Å, 90.00 108.00 90.00°
Space group P2/m (No. 10)
Asymmetric unit:
Ac 0.0000 0.0000 0.0000
Y 0.0000 0.0000 0.5000
Y 0.1464 0.5000 0.7869
Y 0.3324 0.5000 0.1428
Y 0.4362 0.0000 0.3333
Er 0.2741 0.5000 0.4922
Er 0.5000 0.0000 0.0000

## Properties
Offset from the most stable computed form (eV/f.u.): 0.00
Volume (Å³ per cell): 370.26
Total magnetization (μB/f.u.): 0.00
Energy of formation from the pure elements (meV per atom): 146